Record 1
BiB3Rh (GGA-PBE, relaxed); energy above the lowest structure with this stoichiometry = 0.0 meV per atom; space-group type = Pm-3m
1.0
4.193 0.000 0.000
0.000 4.193 0.000
0.000 0.000 4.193
B Rh Bi
3 1 1
direct
0.000 0.000 0.500
0.000 0.500 0.000
0.500 0.000 0.000
0.000 0.000 0.000
0.500 0.500 0.500

Record 2
Cu3Ag (GGA-PBE, relaxed); space-group type = Pmmm
1.0
2.702 0.000 0.000
0.000 3.530 0.000
0.000 0.000 5.636
Cu Ag
3 1
direct
0.500 0.500 0.276
0.500 0.500 0.724
0.000 0.000 0.500
0.000 0.000 0.000

Number 1: formation energy from the elements 1147 meV per atom. Number 2: formation energy from the elements 85 meV per atom.